Entry 1:
# MgSnSeN2

A PBEsol-optimized structure of MgSnSeN2 (SCAN, Alexandria via LeMat-Bulk).

Values from the calculation:
**Uncorrected energy**: -15.065 eV/atom
**Crystal system**: tetragonal
**Space group**: P4/mmm (123)
**M_tot**: 3.88 μB/f.u.

abc: 4.160 4.160 5.191
angles: 90.00 90.00 90.00
Each line ends with the local moment (μB).
Atoms (fractional coordinates):
1 Mg 0.000 0.000 0.000  -0.01
2 Sn 0.500 0.500 0.500  -0.04
3 Se 0.000 0.000 0.500  0.20
4 N 0.000 0.500 0.000  1.28
5 N 0.500 0.000 0.000  1.28


Entry 2:
# MgTaSe2N

A PBEsol-optimized structure of MgTaSe2N (SCAN, Alexandria via LeMat-Bulk).

Values from the calculation:
**Uncorrected energy**: -23.428 eV/atom
**Crystal system**: tetragonal
**Space group**: P4/mmm (123)
**M_tot**: 0.05 μB/f.u.

abc: 3.732 4.891 4.891
angles: 90.00 90.00 90.00
Each line ends with the local moment (μB).
Atoms (fractional coordinates):
1 Mg 0.000 0.000 0.000  0.00
2 N 0.500 0.000 0.000  1.12
3 Se 0.000 0.000 0.500  0.26
4 Se 0.000 0.500 0.000  0.26
5 Ta 0.500 0.500 0.500  -1.54


Entry 3:
# MgTiSeN2

A PBEsol-optimized structure of MgTiSeN2 (SCAN, Alexandria via LeMat-Bulk).

Values from the calculation:
**Uncorrected energy**: -11.179 eV/atom
**Crystal system**: tetragonal
**Space group**: P4/mmm (123)
**M_tot**: 1.90 μB/f.u.

abc: 3.844 3.844 5.011
angles: 90.00 90.00 90.00
Each line ends with the local moment (μB).
Atoms (fractional coordinates):
1 Mg 0.000 0.000 0.000  0.02
2 N 0.000 0.500 0.000  1.16
3 N 0.500 0.000 0.000  1.16
4 Se 0.000 0.000 0.500  0.24
5 Ti 0.500 0.500 0.500  -1.37


Entry 4:
# MgTlSe2N

A PBEsol-optimized structure of MgTlSe2N (SCAN, Alexandria via LeMat-Bulk).

Values from the calculation:
**Energy above the most stable polymorph in this dataset**: 0.0 kJ per mole of atoms
**Crystal system**: tetragonal
**Space group**: P4/mmm (123)
**M_tot**: 3.78 μB/f.u.

abc: 4.018 5.210 5.210
angles: 90.00 90.00 90.00
Each line ends with the local moment (μB).
Atoms (fractional coordinates):
1 Tl 0.500 0.500 0.500  0.09
2 Mg 0.000 0.000 0.000  -0.01
3 Se 0.000 0.000 0.500  0.57
4 Se 0.000 0.500 0.000  0.57
5 N 0.500 0.000 0.000  1.33


Entry 5:
# MgTlSeN2

A PBEsol-optimized structure of MgTlSeN2 (SCAN, Alexandria via LeMat-Bulk).

Values from the calculation:
**Uncorrected energy**: -22.356 eV/atom
**Crystal system**: tetragonal
**Space group**: P4/mmm (123)
**M_tot**: 4.09 μB/f.u.

abc: 4.171 4.171 5.361
angles: 90.00 90.00 90.00
Each line ends with the local moment (μB).
Atoms (fractional coordinates):
1 Tl 0.500 0.500 0.500  0.01
2 Mg 0.000 0.000 0.000  -0.01
3 Se 0.000 0.000 0.500  0.12
4 N 0.000 0.500 0.000  1.34
5 N 0.500 0.000 0.000  1.34


Entry 6:
# MgTlSe2N

A PBEsol-optimized structure of MgTlSe2N (SCAN, Alexandria via LeMat-Bulk).

Values from the calculation:
**Energy above the most stable polymorph in this dataset**: 41.6 kJ per mole of atoms
**Crystal system**: tetragonal
**Space group**: P4/mmm (123)
**M_tot**: 2.09 μB/f.u.

abc: 4.174 5.391 5.391
angles: 90.00 90.00 90.00
Each line ends with the local moment (μB).
Atoms (fractional coordinates):
1 Tl 0.000 0.000 0.000  -0.02
2 Mg 0.500 0.500 0.500  0.00
3 Se 0.000 0.000 0.500  0.18
4 Se 0.000 0.500 0.000  0.18
5 N 0.500 0.000 0.000  1.14